This record from the Alexandria database describes an optimized crystal structure of CaTi2FeO6. The functional is PBE with a Hubbard U.

CIF file:
```
data_CaTi2FeO6
_chemical_formula_sum 'Ca4 Ti8 Fe4 O24'
_space_group_name_H-M_alt 'P 42/n m c'
_space_group_IT_number 137
_cell_length_a 7.5581
_cell_length_b 7.5581
_cell_length_c 7.6437
_cell_angle_alpha 90.00
_cell_angle_beta 90.00
_cell_angle_gamma 90.00
loop_
_space_group_symop_operation_xyz
'x,y,z'
'-x,-y,-z'
'-y+1/2,x,z+1/2'
'y+1/2,-x,-z+1/2'
'-x+1/2,-y+1/2,z'
'x+1/2,y+1/2,-z'
'y,-x+1/2,z+1/2'
'-y,x+1/2,-z+1/2'
'x+1/2,-y,-z'
'-x+1/2,y,z'
'-y,-x,-z+1/2'
'y,x,z+1/2'
'-x,y+1/2,-z'
'x,-y+1/2,z'
'y+1/2,x+1/2,-z+1/2'
'-y+1/2,-x+1/2,z+1/2'
loop_
_atom_site_label
_atom_site_fract_x
_atom_site_fract_y
_atom_site_fract_z
_atom_site_occupancy
Ca1 0.2500 0.2500 0.2227 1
Ti1 0.0000 0.0000 0.0000 1
Fe1 0.2500 0.7500 0.2500 1
Fe2 0.2500 0.7500 0.7500 1
O1 0.0448 0.7500 0.4313 1
O2 0.0564 0.2500 0.9637 1
O3 0.0563 0.5563 0.7500 1
```

## Properties
The calculation puts the total energy at -320.9 eV/cell. The volume is 436.6 Å³ per cell.